Record 1
{
  "formula": "Na2ScAu",
  "functional": "PBE",
  "state": "optimized geometry",
  "lattice": [[-0.901, 8.166, 3.167], [-0.632, -3.236, 8.164], [1.997, 2.657, 5.956]],
  "species": ["Sc", "Sc", "Na", "Na", "Na", "Na", "Au", "Au"],
  "frac_coords": [[0.500, 0.500, 0.000], [0.250, 0.750, 0.500], [0.681, 0.125, 0.250], [0.069, 0.625, 0.250], [0.375, 0.319, 0.750], [0.875, 0.931, 0.750], [0.000, 0.000, 0.000], [0.750, 0.250, 0.500]],
  "polymorph_energy_ev_per_atom": 0.000,
  "final_energy_ev_per_atom": -2.918,
  "dos_ef_per_ev_cell": 7.39
}



Record 2
{
  "formula": "NaSc3Au4",
  "functional": "PBE",
  "state": "optimized geometry",
  "lattice": [[4.611, 0.000, 1.361], [2.104, 4.102, 1.361], [0.026, 0.016, 8.400]],
  "species": ["Sc", "Sc", "Sc", "Na", "Au", "Au", "Au", "Au"],
  "frac_coords": [[0.253, 0.253, 0.240], [0.747, 0.747, 0.760], [0.500, 0.500, 0.500], [0.000, 0.000, 0.000], [0.867, 0.867, 0.399], [0.380, 0.380, 0.860], [0.133, 0.133, 0.601], [0.620, 0.620, 0.140]],
  "final_energy_ev_per_atom": -4.848,
  "dos_ef_per_ev_cell": 5.73
}